Material: RbTlCoF6
Method: DFT, PBE+U
State: relaxed

The value obtained for the electronic total energy is -152.4 eV per cell. Its density of states at the Fermi level is 0.19 states/eV per atom.

Lattice parameters (Å, degrees): 7.4069 7.8976 10.1697 90.00 90.00 90.00
Closest atoms and distances in Å follow each position.
Space group Imma (No. 74)
Symmetry-distinct sites (fractional):
1 Rb 0.0000 0.2500 0.0937 x4  9 F 2.94-3.09
2 Tl 0.0000 0.0000 0.5000 x4  6 F 2.31-2.56
3 Co 0.2500 0.2500 0.7500 x4  6 F 1.85-1.94
4 F 0.0000 0.2500 0.3826 x4  2 Tl 2.31
5 F 0.0000 0.2500 0.6946 x4  2 Co 1.94
6 F 0.2122 0.0842 0.8760 x16  1 Co 1.85